# 1
Computed, not measured: a relaxed Co2Mo crystal at the PBE level of DFT.

abc: 4.753 4.753 4.753
angles: 105.43 105.43 117.90
Sites, in units of the cell vectors:
1 Co 0.365 0.135 0.500
2 Co 0.865 0.365 0.229
3 Co 0.135 0.635 0.771
4 Co 0.635 0.865 0.500
5 Mo 0.250 0.250 0.000
6 Mo 0.750 0.750 0.000

Output
The value obtained for the size of the total moment is 1.684 μB per formula unit. The calculated formation energy comes out at 554 meV per atom. As for the space-group type: I4/mcm, No. 140. For the total energy, the calculation gives -7.793 eV/atom. For the calculated volume, the calculation gives 81.3 Å³ per cell.

# 2
Computed, not measured: a relaxed HgTe4P crystal at the PBE level of DFT.

abc: 6.328 6.328 6.328
angles: 60.00 60.00 60.00
Sites, in units of the cell vectors:
1 Hg 0.750 0.750 0.750
2 Te 0.373 0.881 0.373
3 Te 0.881 0.373 0.373
4 Te 0.373 0.373 0.881
5 Te 0.373 0.373 0.373
6 P 0.000 0.000 0.000

Output
The value obtained for the size of the total moment is 0.906 μB per formula unit. As for the space-group type: F-43m, No. 216. For the total energy, the calculation gives -2.333 eV/atom. The calculation puts the formation energy from raw total energies at 0.71 eV per atom. For the calculated volume, the calculation gives 179.2 Å³ per cell.

# 3
Computed, not measured: a relaxed Nd7Cd2Ru2 crystal at the PBE level of DFT.

abc: 6.994 7.334 6.994
angles: 90.00 108.79 90.00
Sites, in units of the cell vectors:
1 Nd 0.000 0.253 0.500
2 Nd 0.500 0.747 0.000
3 Nd 0.000 0.747 0.500
4 Nd 0.500 0.253 0.000
5 Nd 0.000 0.000 0.000
6 Nd 0.500 0.758 0.500
7 Nd 0.500 0.242 0.500
8 Cd 0.828 0.500 0.828
9 Cd 0.172 0.500 0.172
10 Ru 0.704 0.000 0.296
11 Ru 0.296 0.000 0.704

Output
The value obtained for the size of the total moment is 0.000 μB per formula unit. The calculated formation energy comes out at -141 meV per atom. As for the space-group type: Cmmm, No. 65. Its energy above the lowest structure with this stoichiometry is 4.58 kJ per mole of atoms. For the total energy, the calculation gives -5.028 eV/atom. For the calculated volume, the calculation gives 339.7 Å³ per cell.

# 4
Computed, not measured: a relaxed La2InRe crystal at the PBE level of DFT.

abc: 4.271 4.271 8.815
angles: 82.63 82.63 48.09
Sites, in units of the cell vectors:
1 In 0.750 0.750 0.750
2 La 0.992 0.992 0.053
3 La 0.508 0.508 0.447
4 Re 0.250 0.250 0.250

Output
The value obtained for the size of the total moment is 0.000 μB per formula unit. The calculated formation energy comes out at 253 meV per atom. As for the space-group type: C2/m, No. 12. For the total energy, the calculation gives -6.007 eV/atom. For the calculated volume, the calculation gives 118.5 Å³ per cell.